Entry 1:
Here is Sm6Pd5Au after structural relaxation from Alexandria. Energies are from PBE.

Computed properties:
magnetization = 0.000 μB per formula unit
formation enthalpy at 0 K = -8.4 eV/f.u.
N(E_F) = 7.88 states/eV/cell

Unit cell a=7.241 b=7.278 c=7.221 alpha=59.74 beta=80.47 gamma=70.82
Sites, in units of the cell vectors:
Sm 0.742 0.087 0.342
Sm 0.258 0.571 0.342
Sm 0.247 0.262 0.000
Sm 0.753 0.738 0.000
Sm 0.742 0.429 0.658
Sm 0.258 0.913 0.658
Pd 0.500 0.160 0.679
Pd 0.000 0.331 0.338
Pd 0.500 0.500 0.000
Pd 0.000 0.669 0.662
Pd 0.500 0.840 0.321
Au 0.000 0.000 0.000

Entry 2:
Here is Sm3Pd2Au6 after structural relaxation from Alexandria. Energies are from PBE.

Computed properties:
magnetization = 0.000 μB per formula unit
formation enthalpy at 0 K = -6.7 eV/f.u.
N(E_F) = 3.68 states/eV/cell

Unit cell a=3.944 b=3.944 c=15.925 alpha=97.11 beta=97.11 gamma=90.00
Sites, in units of the cell vectors:
Sm 0.000 0.000 0.000
Sm 0.824 0.824 0.648
Sm 0.176 0.176 0.352
Pd 0.361 0.361 0.722
Pd 0.639 0.639 0.278
Au 0.074 0.574 0.148
Au 0.574 0.074 0.148
Au 0.926 0.426 0.852
Au 0.426 0.926 0.852
Au 0.728 0.728 0.455
Au 0.272 0.272 0.545

Entry 3:
Here is SmPd3Au3 after structural relaxation from Alexandria. Energies are from PBE.

Computed properties:
magnetization = 0.000 μB per formula unit
formation enthalpy at 0 K = -3.2 eV/f.u.
N(E_F) = 5.97 states/eV/cell

Unit cell a=4.737 b=7.914 c=7.914 alpha=120.00 beta=90.00 gamma=90.00
Sites, in units of the cell vectors:
Sm 0.250 0.667 0.333
Sm 0.750 0.333 0.667
Pd 0.750 0.464 0.086
Pd 0.750 0.622 0.536
Pd 0.250 0.086 0.622
Pd 0.750 0.914 0.378
Pd 0.250 0.378 0.464
Pd 0.250 0.536 0.914
Au 0.750 0.209 0.234
Au 0.750 0.025 0.791
Au 0.250 0.234 0.025
Au 0.750 0.766 0.975
Au 0.250 0.975 0.209
Au 0.250 0.791 0.766

Entry 4:
Here is SmPd6Au6 after structural relaxation from Alexandria. Energies are from PBE.

Computed properties:
magnetization = 0.000 μB per formula unit
formation enthalpy at 0 K = -3.1 eV/f.u.
N(E_F) = 4.73 states/eV/cell

Unit cell a=5.500 b=7.133 c=7.133 alpha=81.16 beta=67.32 gamma=67.32
Sites, in units of the cell vectors:
Sm 0.000 0.000 0.000
Pd 0.347 0.653 0.653
Pd 0.653 0.347 0.347
Pd 0.000 0.349 0.651
Pd 0.000 0.651 0.349
Pd 0.280 0.220 0.220
Pd 0.720 0.780 0.780
Au 0.000 0.500 0.000
Au 0.500 0.500 0.000
Au 0.000 0.000 0.500
Au 0.500 0.000 0.500
Au 0.500 0.787 0.213
Au 0.500 0.213 0.787

Entry 5:
Here is SmPd6Au6 after structural relaxation from Alexandria. Energies are from PBE.

Computed properties:
magnetization = 0.000 μB per formula unit
formation enthalpy at 0 K = -3.6 eV/f.u.
N(E_F) = 6.62 states/eV/cell

Unit cell a=5.476 b=7.112 c=7.112 alpha=81.13 beta=67.36 gamma=67.36
Sites, in units of the cell vectors:
Sm 0.000 0.000 0.000
Pd 0.000 0.500 0.000
Pd 0.500 0.500 0.000
Pd 0.000 0.000 0.500
Pd 0.500 0.000 0.500
Pd 0.500 0.769 0.231
Pd 0.500 0.231 0.769
Au 0.344 0.656 0.656
Au 0.656 0.344 0.344
Au 0.000 0.337 0.663
Au 0.000 0.663 0.337
Au 0.305 0.195 0.195
Au 0.695 0.805 0.805

Entry 6:
Here is SmPd3Au after structural relaxation from Alexandria. Energies are from PBE.

Computed properties:
magnetization = 0.000 μB per formula unit
formation enthalpy at 0 K = -2.7 eV/f.u.
N(E_F) = 2.83 states/eV/cell

Unit cell a=4.545 b=6.134 c=6.947 alpha=90.00 beta=90.00 gamma=90.00
Sites, in units of the cell vectors:
Sm 0.500 0.000 0.214
Sm 0.000 0.500 0.786
Pd 0.000 0.713 0.246
Pd 0.500 0.787 0.754
Pd 0.500 0.213 0.754
Pd 0.000 0.287 0.246
Pd 0.000 0.000 0.934
Pd 0.500 0.500 0.066
Au 0.000 0.000 0.551
Au 0.500 0.500 0.449

- The highest formation enthalpy at 0 K belongs to which entry?
  SmPd3Au

- Which value of formation enthalpy at 0 K does entry 5 give?
  -3.6 eV/f.u.

- Which value of formation enthalpy at 0 K does entry 1 give?
  -8.4 eV/f.u.

- Which value of formation enthalpy at 0 K does entry 4 give?
  -3.1 eV/f.u.